DFT (GGA-PBEsol) results for crystalline Sr2ReCl at its relaxed geometry.

Calculated values
Raw total energy, eV per atom: -4.704
Energy relative to the lowest polymorph listed for this composition, kJ per mole of atoms: 0.0
DOS at the Fermi energy, states/eV/atom: 1.03

Unit cell a=5.5630 b=5.5630 c=3.1023 alpha=90.00 beta=90.00 gamma=90.00
Closest atoms and distances in Å follow each position.
Sites, in units of the cell vectors:
Sr 0.0000 0.5000 0.0000  2 Sr 3.10, 4 Cl 3.18, 4 Re 3.18
Sr 0.5000 0.0000 0.0000  2 Sr 3.10, 4 Cl 3.18, 4 Re 3.18
Re 0.0000 0.0000 0.5000  2 Re 3.10, 8 Sr 3.18
Cl 0.5000 0.5000 0.5000  2 Cl 3.10, 8 Sr 3.18